1.
Below is a relaxed Zr2Tl4N crystal, with properties calculated at the PBE level.

DOS at the Fermi energy   1.000 states/eV per atom
Formation energy from raw total energies   72 kJ/mol of atoms

Cell: 4.8586 4.8586 8.0027 Å, 72.33 72.33 90.00°
Sites, in units of the cell vectors:
Zr  0.6368  0.6368  0.7264
Tl  0.5000  0.0000  0.0000
Tl  0.8361  0.8361  0.3278
N  0.0000  0.0000  0.0000
Tl  0.1639  0.1639  0.6722
Zr  0.3632  0.3632  0.2736
Tl  0.0000  0.5000  0.0000

2.
Below is a relaxed ZrTlN crystal, with properties calculated at the PBE level.

DOS at the Fermi energy   0.531 states/eV per atom
Formation energy from raw total energies   4 kJ/mol of atoms

Cell: 8.0304 8.0304 7.1513 Å, 129.81 129.81 81.94°
Sites, in units of the cell vectors:
Zr  0.7297  0.2703  0.0000
Tl  0.1970  0.1970  0.3940
N  0.6250  0.8750  0.2500
Tl  0.4470  0.9470  0.8940
Zr  0.2703  0.7297  0.0000
N  0.6250  0.3750  0.2500
Tl  0.0530  0.5530  0.1060
Zr  0.5203  0.4797  0.5000
Tl  0.8030  0.8030  0.6060
Zr  0.9797  0.0203  0.5000
N  0.6250  0.3750  0.7500
N  0.1250  0.3750  0.7500

3.
Below is a relaxed ZrTl2N crystal, with properties calculated at the PBE level.

DOS at the Fermi energy   0.559 states/eV per atom
Offset from the most stable computed form   0.000 eV/atom
Formation energy from raw total energies   19 kJ/mol of atoms

Cell: 10.0253 10.0253 7.3877 Å, 47.27 47.27 90.00°
Sites, in units of the cell vectors:
Tl  0.3750  0.5081  0.7500
N  0.5000  0.5000  0.0000
Tl  0.2581  0.6250  0.2500
Tl  0.8750  0.7419  0.7500
Zr  0.0000  0.0000  0.0000
Tl  0.4919  0.1250  0.2500
Zr  0.7500  0.2500  0.5000
N  0.2500  0.7500  0.5000

4.
Below is a relaxed ZrTl2N crystal, with properties calculated at the PBE level.

DOS at the Fermi energy   0.874 states/eV per atom
Offset from the most stable computed form   0.991 eV/atom
Formation energy from raw total energies   115 kJ/mol of atoms

Cell: 4.8966 4.8966 4.8966 Å, 60.00 60.00 60.00°
Sites, in units of the cell vectors:
Tl  0.2500  0.2500  0.2500
Zr  0.5000  0.5000  0.5000
N  0.0000  0.0000  0.0000
Tl  0.7500  0.7500  0.7500